# 1
A geometry-optimized Os5Ru2W2 structure. Source: Alexandria, functional PBE.

a = 4.098 Å, b = 4.756 Å, c = 8.587 Å
α = 64.99°, β = 76.20°, γ = 64.48°
Fractional positions:
Os1 0.366 0.042 0.226
Os2 0.634 0.958 0.774
Os3 0.054 0.561 0.330
Os4 0.946 0.439 0.670
Os5 0.000 0.000 0.000
Ru1 0.262 0.898 0.577
Ru2 0.738 0.102 0.423
W1 0.327 0.462 0.883
W2 0.673 0.538 0.117

Output
N(E_F) (states/eV/f.u.): 7.71
Space group: No. 12
Total energy (eV per atom): -10.930
ΔE_f (meV per atom): 249

# 2
A geometry-optimized MoAs4 structure. Source: Alexandria, functional PBE.

a = 9.282 Å, b = 9.282 Å, c = 9.282 Å
α = 158.68°, β = 158.68°, γ = 30.33°
Fractional positions:
Mo1 0.000 0.000 0.000
As1 0.750 0.250 0.500
As2 0.250 0.750 0.500
As3 0.574 0.574 0.000
As4 0.426 0.426 0.000

Output
N(E_F) (states/eV/f.u.): 3.71
Space group: No. 139
Total energy (eV per atom): -5.522
ΔE_f (meV per atom): 364

# 3
A geometry-optimized Ba2P structure. Source: Alexandria, functional PBE.

a = 5.563 Å, b = 5.563 Å, c = 3.633 Å
α = 90.00°, β = 90.00°, γ = 120.00°
Fractional positions:
Ba1 0.333 0.667 0.500
Ba2 0.667 0.333 0.500
P1 0.000 0.000 0.000

Output
N(E_F) (states/eV/f.u.): 2.88
Space group: No. 191
Total energy (eV per atom): -3.068
ΔE_f (meV per atom): 17

# 4
A geometry-optimized AcPu2SiO8 structure. Source: Alexandria, functional PBE.

a = 4.975 Å, b = 4.976 Å, c = 6.907 Å
α = 90.00°, β = 90.00°, γ = 86.10°
Last column: magnetic moment on the atom in μB.
Fractional positions:
Ac1 0.000 0.000 0.500  0.00
Pu1 0.500 0.500 0.768  3.87
Pu2 0.500 0.500 0.232  3.87
Si1 0.000 0.000 0.000  0.01
O1 0.180 0.819 0.185  -0.06
O2 0.706 0.707 0.000  -0.16
O3 0.820 0.181 0.185  -0.06
O4 0.820 0.181 0.815  -0.06
O5 0.294 0.293 0.000  -0.16
O6 0.180 0.819 0.815  -0.06
O7 0.667 0.670 0.500  -0.11
O8 0.333 0.330 0.500  -0.11

Output
N(E_F) (states/eV/f.u.): 11.75
Space group: No. 10
Raw formation energy (eV/atom): -2.762
Total energy (eV per atom): -9.250

# 5
A geometry-optimized RbNaPH2 structure. Source: Alexandria, functional PBE.

a = 4.677 Å, b = 8.696 Å, c = 4.677 Å
α = 90.00°, β = 90.00°, γ = 90.00°
Last column: magnetic moment on the atom in μB.
Fractional positions:
P1 0.500 0.500 0.500  0.77
H1 0.000 0.000 0.500  -0.13
H2 0.500 0.000 0.000  -0.26
Rb1 0.000 0.000 0.000  -0.08
Na1 0.000 0.500 0.000  0.00

Output
N(E_F) (states/eV/f.u.): 1.87
Space group: No. 123
Total energy (eV per atom): -1.967

# 6
A geometry-optimized NaCa2Pd9 structure. Source: Alexandria, functional PBE.

a = 5.412 Å, b = 5.412 Å, c = 9.384 Å
α = 73.24°, β = 73.24°, γ = 60.00°
Fractional positions:
Na1 0.000 0.000 0.000
Ca1 0.862 0.862 0.413
Ca2 0.138 0.138 0.587
Pd1 0.667 0.667 0.999
Pd2 0.333 0.333 0.001
Pd3 0.500 0.500 0.500
Pd4 0.414 0.414 0.254
Pd5 0.918 0.414 0.254
Pd6 0.414 0.918 0.254
Pd7 0.586 0.586 0.746
Pd8 0.586 0.082 0.746
Pd9 0.082 0.586 0.746

Output
N(E_F) (states/eV/f.u.): 9.44
Space group: No. 166
Total energy (eV per atom): -4.724
ΔE_f (meV per atom): -386

# 7
A geometry-optimized NaPaHgCl6 structure. Source: Alexandria, functional PBE.

a = 7.143 Å, b = 7.143 Å, c = 17.984 Å
α = 90.00°, β = 90.00°, γ = 120.00°
Fractional positions:
Na1 0.333 0.667 0.250
Na2 0.667 0.333 0.750
Pa1 0.667 0.333 0.250
Pa2 0.333 0.667 0.750
Hg1 0.000 0.000 0.000
Hg2 0.000 0.000 0.500
Cl1 0.654 0.621 0.168
Cl2 0.967 0.346 0.168
Cl3 0.346 0.967 0.668
Cl4 0.033 0.654 0.832
Cl5 0.379 0.346 0.332
Cl6 0.967 0.621 0.332
Cl7 0.621 0.967 0.832
Cl8 0.654 0.033 0.332
Cl9 0.033 0.379 0.668
Cl10 0.379 0.033 0.168
Cl11 0.621 0.654 0.668
Cl12 0.346 0.379 0.832

Output
Space group: No. 163
Raw formation energy (eV/atom): -1.644
Total energy (eV per atom): -4.111

# 8
A geometry-optimized LaCrS3 structure. Source: Alexandria, functional PBE.

a = 4.636 Å, b = 4.636 Å, c = 4.636 Å
α = 90.00°, β = 90.00°, γ = 90.00°
Last column: magnetic moment on the atom in μB.
Fractional positions:
Cr1 0.000 0.000 0.000  2.67
S1 0.000 0.500 0.000  -0.03
S2 0.000 0.000 0.500  -0.04
S3 0.500 0.000 0.000  0.01
La1 0.500 0.500 0.500  0.08

Output
N(E_F) (states/eV/f.u.): 1.48
Space group: No. 221
Raw formation energy (eV/atom): -1.214
Total energy (eV per atom): -6.600
Energy above the lowest structure with this stoichiometry (eV/atom): 0.247

Values for V, Å³ per cell, ordered as above
136.5; 105.6; 97.3; 170.6; 190.2; 224.5; 794.7; 99.7